Record 1
A plane-wave DFT calculation with PBE was carried out for a relaxed La4Ho5Er crystal.

POSCAR file:
```
La4Ho5Er
1.0
3.448 0.000 -0.788
-0.047 11.453 -0.205
0.185 0.162 8.746
La Er Ho
4 1 5
direct
0.337 0.750 0.673
0.033 0.750 0.066
0.967 0.250 0.934
0.663 0.250 0.327
0.500 0.000 0.000
0.828 0.048 0.655
0.173 0.548 0.345
0.827 0.452 0.655
0.172 0.952 0.345
0.500 0.500 0.000
```

Output
The calculation puts the formation energy at 194.2 meV per atom. The total energy is -45.22 eV/cell. Its spin magnetization is 0.000 μB per atom.



Record 2
A plane-wave DFT calculation with PBE was carried out for a relaxed LaHo4Er15 crystal.

POSCAR file:
```
LaHo4Er15
1.0
4.982 0.000 0.000
0.000 4.982 0.000
0.000 0.000 24.916
Er La Ho
15 1 4
direct
0.500 0.000 0.897
0.500 0.000 0.699
0.000 0.500 0.103
0.000 0.500 0.500
0.000 0.500 0.699
0.500 0.500 0.599
0.500 0.000 0.103
0.500 0.000 0.301
0.500 0.000 0.500
0.000 0.500 0.301
0.500 0.500 0.202
0.500 0.500 0.401
0.500 0.500 0.000
0.500 0.500 0.798
0.000 0.500 0.897
0.000 0.000 0.000
0.000 0.000 0.201
0.000 0.000 0.799
0.000 0.000 0.599
0.000 0.000 0.401
```

Output
The calculation puts the formation energy at 25.8 meV per atom. The total energy is -91.17 eV/cell. Its spin magnetization is 0.000 μB per atom.



Record 3
A plane-wave DFT calculation with PBE was carried out for a relaxed LaHo9Er2 crystal.

POSCAR file:
```
LaHo9Er2
1.0
5.008 0.000 0.000
0.000 5.008 0.000
0.000 0.000 15.042
Ho Er La
9 2 1
direct
0.000 0.500 0.500
0.500 0.000 0.171
0.500 0.000 0.500
0.000 0.500 0.829
0.500 0.000 0.829
0.500 0.500 0.000
0.500 0.500 0.664
0.000 0.500 0.171
0.500 0.500 0.336
0.000 0.000 0.335
0.000 0.000 0.665
0.000 0.000 0.000
```

Output
The calculation puts the formation energy at 28.1 meV per atom. The total energy is -54.92 eV/cell. Its spin magnetization is 0.000 μB per atom.